Nd2YTh3Se6 PBE relaxed; formation energy from raw total energies = -1658 meV/atom
1.0
-2.309 3.240 1.214
1.841 -1.713 8.076
7.734 4.177 -3.567
Nd Y Th Se
2 1 3 6
direct
0.834 0.667 0.667 Nd
0.166 0.333 0.333 Nd
0.500 0.000 0.000 Y
0.500 0.500 0.000 Th
0.831 0.166 0.662 Th
0.169 0.834 0.338 Th
0.338 0.919 0.676 Se
0.667 0.582 0.335 Se
0.662 0.081 0.324 Se
0.999 0.240 0.998 Se
0.001 0.760 0.002 Se
0.333 0.418 0.665 Se



LaTlIr4 PBE relaxed; formation energy = -195 meV per atom
1.0
0.000 3.836 3.836
3.836 0.000 3.836
3.836 3.836 0.000
La Tl Ir
1 1 4
direct
0.750 0.750 0.750 La
0.000 0.000 0.000 Tl
0.876 0.375 0.375 Ir
0.375 0.375 0.876 Ir
0.375 0.876 0.375 Ir
0.375 0.375 0.375 Ir



Zr7Se12S PBE relaxed; formation energy from raw total energies = -1271 meV/atom
1.0
-8.445 0.121 -1.247
3.682 3.466 -6.879
2.440 -8.172 0.402
Zr Se S
7 12 1
direct
0.961 0.648 0.887 Zr
0.352 0.113 0.039 Zr
0.113 0.039 0.352 Zr
0.500 0.500 0.500 Zr
0.887 0.961 0.648 Zr
0.648 0.887 0.961 Zr
0.039 0.352 0.113 Zr
0.920 0.310 0.766 Se
0.690 0.234 0.080 Se
0.459 0.152 0.384 Se
0.848 0.616 0.541 Se
0.234 0.080 0.690 Se
0.616 0.541 0.848 Se
0.384 0.459 0.152 Se
0.766 0.920 0.310 Se
0.152 0.384 0.459 Se
0.541 0.848 0.616 Se
0.310 0.766 0.920 Se
0.080 0.690 0.234 Se
0.000 0.000 0.000 S